No. 1
Compound: LiAc2Zn4Hg3
Source: Alexandria via LeMat-Bulk
Functional: PBE-GGA
Structure: relaxed

For the energy relative to the elements, the calculation gives -0.282 eV/atom. The mass density comes out at 9.3 g/cm3. The raw total energy comes out at -1.90 eV per atom.

The space group is P-4m2 (No. 115) and the conventional cell measures 4.659, 4.659 and 10.895 Å, with angles of 90.00, 90.00 and 90.00 degrees. The inequivalent atoms are Li at (0.000, 0.000, 0.000), Ac at (0.000, 0.500, 0.743), Zn at (0.000, 0.000, 0.500), Zn at (0.000, 0.500, 0.125), Zn at (0.500, 0.500, 0.500), Hg at (0.000, 0.500, 0.368) and Hg at (0.500, 0.500, 0.000).

=====

No. 2
Compound: La9TbPm4
Source: Alexandria via LeMat-Bulk
Functional: PBE-GGA
Structure: relaxed

For the energy relative to the elements, the calculation gives 0.140 eV/atom. The mass density comes out at 6.4 g/cm3. The raw total energy comes out at -4.72 eV per atom.

The space group is P6_3/mmc (No. 194) and the conventional cell measures 10.0790, 10.0790 and 11.6495 Å, with angles of 90.00, 90.00 and 120.00 degrees. The inequivalent atoms are La at (0.0799, 0.5399, 0.2500), La at (0.2071, 0.4142, 0.5304), Tb at (0.3333, 0.6667, 0.7500), Pm at (0.0000, 0.0000, 0.0000) and Pm at (0.1126, 0.2252, 0.2500).

=====

No. 3
Compound: HfSn2OsRh
Source: Alexandria via LeMat-Bulk
Functional: PBE-GGA
Structure: relaxed

For the energy relative to the elements, the calculation gives 0.892 eV/atom. The mass density comes out at 9.7 g/cm3. The raw total energy comes out at -6.42 eV per atom.

The space group is P4/mmm (No. 123) and the conventional cell measures 5.018, 5.018 and 4.811 Å, with angles of 90.00, 90.00 and 90.00 degrees. The inequivalent atoms are Hf at (0.000, 0.000, 0.000), Sn at (0.000, 0.500, 0.500), Os at (0.500, 0.500, 0.500) and Rh at (0.500, 0.500, 0.000).

=====

No. 4
Compound: SrB2Br
Source: Alexandria via LeMat-Bulk
Functional: PBE-GGA
Structure: relaxed

For the polymorph energy (0 for the lowest one), the calculation gives 0 meV/atom. The mass density comes out at 3.7 g/cm3. The calculation puts the formation energy (no corrections) at 1.297 eV per atom. The raw total energy comes out at -2.88 eV per atom.

The space group is I-42d (No. 122) and the conventional cell measures 7.547, 7.547 and 5.884 Å, with angles of 90.00, 90.00 and 90.00 degrees. The inequivalent atoms are Sr at (0.000, 0.000, 0.000), B at (0.218, 0.250, 0.625) and Br at (0.000, 0.000, 0.500).

=====

No. 5
Compound: Cs2CaB2Se6
Source: Alexandria via LeMat-Bulk
Functional: PBE-GGA
Structure: relaxed

The mass density comes out at 3.5 g/cm3. The calculation puts the formation energy (no corrections) at -0.706 eV per atom. The raw total energy comes out at -4.16 eV per atom.

The space group is C2/m (No. 12) and the conventional cell measures 13.366, 6.145 and 10.522 Å, with angles of 90.00, 118.92 and 90.00 degrees. The inequivalent atoms are Cs at (0.191, 0.000, 0.142), Ca at (0.000, 0.000, 0.500), B at (0.094, 0.500, 0.294), Se at (0.016, 0.255, 0.752) and Se at (0.250, 0.000, 0.661).

=====

No. 6
Compound: YZnPt2
Source: Alexandria via LeMat-Bulk
Functional: PBE-GGA
Structure: relaxed

For the energy relative to the elements, the calculation gives -0.815 eV/atom. The mass density comes out at 12.6 g/cm3. The raw total energy comes out at -5.77 eV per atom.

The space group is P4/mmm (No. 123) and the conventional cell measures 4.257, 4.257 and 3.954 Å, with angles of 90.00, 90.00 and 90.00 degrees. The inequivalent atoms are Y at (0.000, 0.000, 0.000), Zn at (0.500, 0.500, 0.000) and Pt at (0.000, 0.500, 0.500).